(1)
# TmSc5Sb3 PBE-GGA optimized geometry
# - Energy relative to the elements, uncorrected: -637 meV/atom
# - Calculated density: 6.12 g/cm3
data_TmSc5Sb3
_cell_length_a 6.1773
_cell_length_b 8.7732
_cell_length_c 8.7738
_cell_angle_alpha 120.00
_cell_angle_beta 90.00
_cell_angle_gamma 90.00
_space_group_name_H-M_alt 'P 1'
_space_group_IT_number 1
_space_group_name_Hall 'P 1'
loop_
_atom_site_label
_atom_site_fract_x
_atom_site_fract_y
_atom_site_fract_z
Sc1 0.2500 0.6647 0.0000
Sc2 0.0000 0.6667 0.3333
Sc3 0.7500 0.6645 0.6646
Sb1 0.2500 0.3352 0.0000
Sb2 0.7500 0.9999 0.6649
Sb3 0.7500 0.6648 0.0000
Sb4 0.2500 0.0001 0.3351
Sb5 0.7500 0.3351 0.3351
Sc4 0.2500 0.3355 0.3354
Tm1 0.0000 0.0000 0.0000
Sc5 0.7500 0.3353 0.0000
Sc6 0.5000 0.3333 0.6667
Tm2 0.5000 0.0000 0.0000
Sc7 0.5000 0.6667 0.3333
Sb6 0.2500 0.6649 0.6649
Sc8 0.0000 0.3333 0.6667
Sc9 0.2500 0.0001 0.6646
Sc10 0.7500 0.9999 0.3354

=====

(2)
# Tm3ScSb4 PBE-GGA optimized geometry
# - Energy relative to the elements, uncorrected: -1029 meV/atom
# - Calculated density: 7.68 g/cm3
data_Tm3ScSb4
_cell_length_a 7.4395
_cell_length_b 7.4385
_cell_length_c 8.6085
_cell_angle_alpha 90.00
_cell_angle_beta 90.00
_cell_angle_gamma 109.48
_space_group_name_H-M_alt 'P 1'
_space_group_IT_number 1
_space_group_name_Hall 'P 1'
loop_
_atom_site_label
_atom_site_fract_x
_atom_site_fract_y
_atom_site_fract_z
Sb1 0.5003 0.2423 0.8791
Sb2 0.0003 0.2423 0.1209
Tm1 0.7500 0.5000 0.6259
Sb3 0.4997 0.7577 0.1209
Sb4 0.5039 0.7535 0.6289
Sc1 0.7500 0.0000 0.8756
Sb5 0.9997 0.7577 0.8791
Sb6 0.4961 0.2465 0.3711
Sb7 0.0039 0.7535 0.3711
Sb8 0.9961 0.2465 0.6289
Tm2 0.7500 0.5000 0.1245
Tm3 0.2500 0.5000 0.3741
Tm4 0.7500 0.0000 0.3744
Sc2 0.2500 0.0000 0.1244
Tm5 0.2500 0.5000 0.8755
Tm6 0.2500 0.0000 0.6256

=====

(3)
# TmSc2Sb PBE-GGA optimized geometry
# - Distance to the lowest polymorph of the same formula: 150 meV/atom
# - Energy relative to the elements, uncorrected: -449 meV/atom
# - Calculated density: 6.59 g/cm3
data_TmSc2Sb
_cell_length_a 4.5772
_cell_length_b 4.5785
_cell_length_c 4.5785
_cell_angle_alpha 90.00
_cell_angle_beta 90.00
_cell_angle_gamma 90.00
_space_group_name_H-M_alt 'P 1'
_space_group_IT_number 1
_space_group_name_Hall 'P 1'
loop_
_atom_site_label
_atom_site_fract_x
_atom_site_fract_y
_atom_site_fract_z
Tm1 0.5000 0.5000 0.5000
Sc1 0.0000 0.5000 0.0000
Sc2 0.0000 0.0000 0.5000
Sb1 0.5000 0.0000 0.0000

=====

(4)
# TmSc2Sb PBE-GGA optimized geometry
# - Distance to the lowest polymorph of the same formula: 48 meV/atom
# - Energy relative to the elements, uncorrected: -551 meV/atom
# - Calculated density: 6.17 g/cm3
data_TmSc2Sb
_cell_length_a 6.1471
_cell_length_b 3.9866
_cell_length_c 8.8332
_cell_angle_alpha 90.00
_cell_angle_beta 90.00
_cell_angle_gamma 108.91
_space_group_name_H-M_alt 'P 1'
_space_group_IT_number 1
_space_group_name_Hall 'P 1'
loop_
_atom_site_label
_atom_site_fract_x
_atom_site_fract_y
_atom_site_fract_z
Sb1 0.9777 0.2389 0.7500
Sc1 0.2290 0.3644 0.0465
Sc2 0.7710 0.6356 0.5465
Sc3 0.7710 0.6356 0.9535
Sb2 0.0223 0.7611 0.2500
Tm1 0.3966 0.9483 0.7500
Tm2 0.6034 0.0517 0.2500
Sc4 0.2290 0.3644 0.4535

=====

(5)
# TmScSb2 PBE-GGA optimized geometry
# - Distance to the lowest polymorph of the same formula: 2 meV/atom
# - Energy relative to the elements, uncorrected: -996 meV/atom
# - Calculated density: 6.98 g/cm3
data_TmScSb2
_cell_length_a 4.2484
_cell_length_b 6.0276
_cell_length_c 8.4964
_cell_angle_alpha 90.00
_cell_angle_beta 90.00
_cell_angle_gamma 90.00
_space_group_name_H-M_alt 'P 1'
_space_group_IT_number 1
_space_group_name_Hall 'P 1'
loop_
_atom_site_label
_atom_site_fract_x
_atom_site_fract_y
_atom_site_fract_z
Tm1 0.5000 0.0000 0.1264
Sc1 0.5000 0.0000 0.6241
Sb1 0.5000 0.5000 0.6163
Sb2 0.0000 0.0000 0.8669
Sc2 0.0000 0.5000 0.3759
Tm2 0.0000 0.5000 0.8736
Sb3 0.0000 0.0000 0.3837
Sb4 0.5000 0.5000 0.1331

=====

(6)
# Tm2ScSb PBE-GGA optimized geometry
# - Distance to the lowest polymorph of the same formula: 52 meV/atom
# - Energy relative to the elements, uncorrected: -434 meV/atom
# - Calculated density: 8.36 g/cm3
data_Tm2ScSb
_cell_length_a 4.6653
_cell_length_b 4.6351
_cell_length_c 4.6351
_cell_angle_alpha 90.00
_cell_angle_beta 90.00
_cell_angle_gamma 90.00
_space_group_name_H-M_alt 'P 1'
_space_group_IT_number 1
_space_group_name_Hall 'P 1'
loop_
_atom_site_label
_atom_site_fract_x
_atom_site_fract_y
_atom_site_fract_z
Sc1 0.5000 0.5000 0.5000
Tm1 0.0000 0.5000 0.0000
Tm2 0.0000 0.0000 0.5000
Sb1 0.5000 0.0000 0.0000

=====

(7)
# TmScSb PBE-GGA optimized geometry
# - Energy relative to the elements, uncorrected: -466 meV/atom
# - Calculated density: 6.47 g/cm3
data_TmScSb
_cell_length_a 4.2161
_cell_length_b 4.2161
_cell_length_c 9.6929
_cell_angle_alpha 90.01
_cell_angle_beta 90.01
_cell_angle_gamma 90.00
_space_group_name_H-M_alt 'P 1'
_space_group_IT_number 1
_space_group_name_Hall 'P 1'
loop_
_atom_site_label
_atom_site_fract_x
_atom_site_fract_y
_atom_site_fract_z
Sc1 0.2500 0.2500 0.5782
Tm1 0.7502 0.7502 0.8115
Sc2 0.7500 0.7500 0.4218
Sb1 0.7498 0.7498 0.1297
Tm2 0.2498 0.2498 0.1885
Sb2 0.2502 0.2502 0.8703

=====

(8)
# Tm2Sc2Sb3 PBE-GGA optimized geometry
# - Energy relative to the elements, uncorrected: -714 meV/atom
# - Calculated density: 6.55 g/cm3
data_Tm2Sc2Sb3
_cell_length_a 4.2956
_cell_length_b 7.0830
_cell_length_c 7.0468
_cell_angle_alpha 99.76
_cell_angle_beta 90.00
_cell_angle_gamma 107.65
_space_group_name_H-M_alt 'P 1'
_space_group_IT_number 1
_space_group_name_Hall 'P 1'
loop_
_atom_site_label
_atom_site_fract_x
_atom_site_fract_y
_atom_site_fract_z
Sb1 0.7391 0.4781 0.2546
Sc1 0.1219 0.2439 0.3824
Tm1 0.3802 0.7602 0.1547
Tm2 0.6198 0.2398 0.8453
Sb2 0.0000 0.0000 0.0000
Sb3 0.2609 0.5219 0.7454
Sc2 0.8781 0.7561 0.6176

=====

Copy entry 4 word for word.
# TmSc2Sb PBE-GGA optimized geometry
# - Distance to the lowest polymorph of the same formula: 48 meV/atom
# - Energy relative to the elements, uncorrected: -551 meV/atom
# - Calculated density: 6.17 g/cm3
data_TmSc2Sb
_cell_length_a 6.1471
_cell_length_b 3.9866
_cell_length_c 8.8332
_cell_angle_alpha 90.00
_cell_angle_beta 90.00
_cell_angle_gamma 108.91
_space_group_name_H-M_alt 'P 1'
_space_group_IT_number 1
_space_group_name_Hall 'P 1'
loop_
_atom_site_label
_atom_site_fract_x
_atom_site_fract_y
_atom_site_fract_z
Sb1 0.9777 0.2389 0.7500
Sc1 0.2290 0.3644 0.0465
Sc2 0.7710 0.6356 0.5465
Sc3 0.7710 0.6356 0.9535
Sb2 0.0223 0.7611 0.2500
Tm1 0.3966 0.9483 0.7500
Tm2 0.6034 0.0517 0.2500
Sc4 0.2290 0.3644 0.4535